This record from the Alexandria database describes a geometry-optimized PrSm2Br structure. The functional is PBE-GGA.

Properties
- crystal system = trigonal
- ΔE_f (raw) (eV per atom) = -0.5168
- energy above the most stable polymorph in this dataset (eV per formula unit) = 0.000
- DFT total energy (eV per atom) = -4.489

The structure in CIF format:
```
data_PrSm2Br
_cell_length_a 10.8006
_cell_length_b 10.8006
_cell_length_c 10.8006
_cell_angle_alpha 19.92
_cell_angle_beta 19.92
_cell_angle_gamma 19.92
_space_group_name_H-M_alt 'P 1'
_space_group_IT_number 1
loop_
_space_group_symop_operation_xyz
'x,y,z'
loop_
_atom_site_label
_atom_site_type_symbol
_atom_site_fract_x
_atom_site_fract_y
_atom_site_fract_z
Pr1 Pr 0.0000 0.0000 0.0000
Sm1 Sm 0.5739 0.5739 0.5739
Sm2 Sm 0.7597 0.7597 0.7597
Br1 Br 0.1667 0.1667 0.1667
```